{
  "formula": "Pu2TeI",
  "functional": "PBE",
  "state": "optimized geometry",
  "dft_energy_ev_per_atom": -9.124,
  "formation_energy_uncorrected_ev_per_atom": -0.7848,
  "spacegroup": "No. 123",
  "e_above_lowest_polymorph_ev_per_fu": 0.09,
  "lattice": [[3.838, 0.000, 0.000], [0.000, 3.838, 0.000], [0.000, 0.000, 7.717]],
  "species": ["Pu", "Pu", "Te", "I"],
  "frac_coords": [[0.000, 0.000, 0.233], [0.000, 0.000, 0.767], [0.500, 0.500, 0.000], [0.500, 0.500, 0.500]]
}


{
  "formula": "NbCdPtO6",
  "functional": "PBE",
  "state": "optimized geometry",
  "dft_energy_ev_per_atom": -6.498,
  "formation_energy_uncorrected_ev_per_atom": -1.3012,
  "spacegroup": "No. 102",
  "lattice": [[4.860, 0.000, 0.000], [0.000, 4.860, 0.000], [0.000, 0.000, 9.647]],
  "species": ["Nb", "Nb", "Cd", "Cd", "Pt", "Pt", "O", "O", "O", "O", "O", "O", "O", "O", "O", "O", "O", "O"],
  "frac_coords": [[0.000, 0.000, 0.000], [0.500, 0.500, 0.500], [0.000, 0.000, 0.329], [0.500, 0.500, 0.829], [0.000, 0.000, 0.661], [0.500, 0.500, 0.161], [0.175, 0.175, 0.829], [0.206, 0.206, 0.513], [0.214, 0.214, 0.143], [0.286, 0.714, 0.643], [0.294, 0.706, 0.013], [0.325, 0.675, 0.329], [0.675, 0.325, 0.329], [0.706, 0.294, 0.013], [0.714, 0.286, 0.643], [0.786, 0.786, 0.143], [0.794, 0.794, 0.513], [0.825, 0.825, 0.829]]
}


{
  "formula": "Cs2PmIrO6",
  "functional": "PBE",
  "state": "optimized geometry",
  "dft_energy_ev_per_atom": -6.038,
  "formation_energy_uncorrected_ev_per_atom": -1.5312,
  "spacegroup": "No. 164",
  "lattice": [[6.695, 0.000, 0.000], [-3.347, 5.798, 0.000], [0.000, 0.000, 5.948]],
  "species": ["Cs", "Cs", "Pm", "Ir", "O", "O", "O", "O", "O", "O"],
  "frac_coords": [[0.333, 0.667, 0.131], [0.667, 0.333, 0.869], [0.000, 0.000, 0.500], [0.000, 0.000, 0.000], [0.132, 0.264, 0.800], [0.132, 0.868, 0.800], [0.264, 0.132, 0.200], [0.736, 0.868, 0.800], [0.868, 0.132, 0.200], [0.868, 0.736, 0.200]]
}


{
  "formula": "Pr2Er4Tl3H2",
  "functional": "PBE",
  "state": "optimized geometry",
  "dft_energy_ev_per_atom": -4.089,
  "spacegroup": "No. 139",
  "lattice": [[-2.397, 2.397, 12.285], [2.397, -2.397, 12.285], [2.397, 2.397, -12.285]],
  "species": ["Pr", "Pr", "Er", "Er", "Er", "Er", "Tl", "Tl", "Tl", "H", "H"],
  "frac_coords": [[0.196, 0.196, 0.000], [0.804, 0.804, 0.000], [0.082, 0.582, 0.500], [0.418, 0.918, 0.500], [0.582, 0.082, 0.500], [0.918, 0.418, 0.500], [0.331, 0.331, 0.000], [0.500, 0.500, 0.000], [0.669, 0.669, 0.000], [0.096, 0.096, 0.000], [0.904, 0.904, 0.000]]
}


{
  "formula": "CrTe",
  "functional": "PBE",
  "state": "optimized geometry",
  "dft_energy_ev_per_atom": -6.023,
  "formation_energy_uncorrected_ev_per_atom": 0.3599,
  "spacegroup": "No. 166",
  "lattice": [[1.582, 0.913, 9.967], [-1.582, 0.913, 9.967], [0.000, -1.827, 9.967]],
  "species": ["Cr", "Cr", "Te", "Te"],
  "frac_coords": [[0.142, 0.142, 0.142], [0.858, 0.858, 0.858], [0.405, 0.405, 0.405], [0.595, 0.595, 0.595]]
}


{
  "formula": "Ta2PtPb",
  "functional": "PBE",
  "state": "optimized geometry",
  "dft_energy_ev_per_atom": -8.311,
  "spacegroup": "No. 123",
  "formation_energy_mev_per_atom": 52.9,
  "lattice": [[4.108, 0.000, 0.000], [0.000, 4.108, 0.000], [0.000, 0.000, 4.414]],
  "species": ["Ta", "Ta", "Pt", "Pb"],
  "frac_coords": [[0.000, 0.500, 0.000], [0.500, 0.000, 0.000], [0.000, 0.000, 0.500], [0.500, 0.500, 0.500]]
}


{
  "formula": "CrIr2Pb",
  "functional": "PBE",
  "state": "optimized geometry",
  "dft_energy_ev_per_atom": -7.139,
  "spacegroup": "No. 160",
  "formation_energy_mev_per_atom": 624.1,
  "lattice": [[1.458, 0.842, 8.903], [-1.458, 0.842, 8.903], [0.000, -1.684, 8.903]],
  "species": ["Cr", "Ir", "Ir", "Pb"],
  "frac_coords": [[0.000, 0.000, 0.000], [0.262, 0.262, 0.262], [0.511, 0.511, 0.511], [0.756, 0.756, 0.756]]
}


{
  "formula": "AcLa4Er7",
  "functional": "PBE",
  "state": "optimized geometry",
  "dft_energy_ev_per_atom": -4.364,
  "spacegroup": "No. 12",
  "formation_energy_mev_per_atom": 282.7,
  "lattice": [[6.190, -3.048, 0.000], [6.190, 3.048, 0.000], [-6.095, 0.000, 11.328]],
  "species": ["Ac", "La", "La", "La", "La", "Er", "Er", "Er", "Er", "Er", "Er", "Er"],
  "frac_coords": [[0.000, 0.000, 0.000], [0.145, 0.145, 0.777], [0.437, 0.437, 0.669], [0.563, 0.563, 0.331], [0.855, 0.855, 0.223], [0.135, 0.135, 0.501], [0.264, 0.264, 0.326], [0.294, 0.294, 0.077], [0.500, 0.500, 0.000], [0.706, 0.706, 0.923], [0.736, 0.736, 0.674], [0.865, 0.865, 0.499]]
}


{
  "formula": "BaScIr2",
  "functional": "PBE",
  "state": "optimized geometry",
  "dft_energy_ev_per_atom": -6.549,
  "spacegroup": "No. 8",
  "e_above_lowest_polymorph_ev_per_fu": 0.96,
  "formation_energy_mev_per_atom": -54.7,
  "lattice": [[5.173, -1.556, 0.000], [5.173, 1.556, 0.000], [-1.226, 0.000, 5.988]],
  "species": ["Ba", "Sc", "Ir", "Ir"],
  "frac_coords": [[0.000, 0.000, 0.000], [0.812, 0.812, 0.445], [0.216, 0.216, 0.722], [0.532, 0.532, 0.480]]
}


{
  "formula": "BaTb2Ag3",
  "functional": "PBE",
  "state": "optimized geometry",
  "dft_energy_ev_per_atom": -3.549,
  "spacegroup": "No. 123",
  "formation_energy_mev_per_atom": -259.4,
  "lattice": [[3.773, 0.000, 0.000], [0.000, 3.773, 0.000], [0.000, 0.000, 11.481]],
  "species": ["Ba", "Tb", "Tb", "Ag", "Ag", "Ag"],
  "frac_coords": [[0.000, 0.000, 0.000], [0.000, 0.000, 0.342], [0.000, 0.000, 0.658], [0.500, 0.500, 0.209], [0.500, 0.500, 0.500], [0.500, 0.500, 0.791]]
}


{
  "formula": "VCoReBr2",
  "functional": "PBE",
  "state": "optimized geometry",
  "dft_energy_ev_per_atom": -4.913,
  "formation_energy_uncorrected_ev_per_atom": 1.4907,
  "spacegroup": "No. 123",
  "lattice": [[4.850, 0.000, 0.000], [0.000, 4.850, 0.000], [0.000, 0.000, 4.775]],
  "species": ["V", "Co", "Re", "Br", "Br"],
  "frac_coords": [[0.000, 0.000, 0.000], [0.500, 0.500, 0.500], [0.000, 0.000, 0.500], [0.000, 0.500, 0.000], [0.500, 0.000, 0.000]]
}


{
  "formula": "MgCdH3",
  "functional": "PBE",
  "state": "optimized geometry",
  "dft_energy_ev_per_atom": -2.065,
  "spacegroup": "No. 221",
  "e_above_lowest_polymorph_ev_per_fu": 1.05,
  "lattice": [[3.990, 0.000, 0.000], [0.000, 3.990, 0.000], [0.000, 0.000, 3.990]],
  "species": ["Mg", "Cd", "H", "H", "H"],
  "frac_coords": [[0.000, 0.000, 0.000], [0.500, 0.500, 0.500], [0.000, 0.500, 0.500], [0.500, 0.000, 0.500], [0.500, 0.500, 0.000]]
}


{
  "formula": "SrCa2Tl4",
  "functional": "PBE",
  "state": "optimized geometry",
  "dft_energy_ev_per_atom": -2.412,
  "spacegroup": "No. 166",
  "formation_energy_mev_per_atom": -247.5,
  "lattice": [[2.735, 1.579, 9.011], [-2.735, 1.579, 9.011], [0.000, -3.158, 9.011]],
  "species": ["Sr", "Ca", "Ca", "Tl", "Tl", "Tl", "Tl"],
  "frac_coords": [[0.000, 0.000, 0.000], [0.248, 0.248, 0.248], [0.752, 0.752, 0.752], [0.129, 0.129, 0.129], [0.386, 0.386, 0.386], [0.614, 0.614, 0.614], [0.871, 0.871, 0.871]]
}


{
  "formula": "Y2VSn",
  "functional": "PBE",
  "state": "optimized geometry",
  "dft_energy_ev_per_atom": -6.198,
  "spacegroup": "No. 122",
  "formation_energy_mev_per_atom": 314.3,
  "lattice": [[-4.079, 4.079, 3.149], [4.079, -4.079, 3.149], [4.079, 4.079, -3.149]],
  "species": ["Y", "Y", "Y", "Y", "V", "V", "Sn", "Sn"],
  "frac_coords": [[0.101, 0.125, 0.476], [0.375, 0.899, 0.024], [0.649, 0.625, 0.524], [0.875, 0.351, 0.976], [0.000, 0.000, 0.000], [0.750, 0.250, 0.500], [0.250, 0.750, 0.500], [0.500, 0.500, 0.000]]
}


{
  "formula": "Sm4HgSe2S",
  "functional": "PBE",
  "state": "optimized geometry",
  "dft_energy_ev_per_atom": -5.285,
  "formation_energy_uncorrected_ev_per_atom": -1.5005,
  "spacegroup": "No. 10",
  "lattice": [[7.314, 0.000, 0.000], [0.000, 4.121, 0.000], [-2.352, 0.000, 6.927]],
  "species": ["Sm", "Sm", "Sm", "Sm", "Hg", "Se", "Se", "S"],
  "frac_coords": [[0.238, 0.000, 0.242], [0.240, 0.500, 0.746], [0.760, 0.500, 0.254], [0.762, 0.000, 0.758], [0.500, 0.000, 0.000], [0.000, 0.000, 0.500], [0.500, 0.500, 0.500], [0.000, 0.500, 0.000]]
}


{
  "formula": "Sm8Rh3SI4",
  "functional": "PBE",
  "state": "optimized geometry",
  "dft_energy_ev_per_atom": -5.418,
  "formation_energy_uncorrected_ev_per_atom": -1.0343,
  "spacegroup": "No. 166",
  "lattice": [[4.182, 2.415, 7.936], [-4.182, 2.415, 7.936], [0.000, -4.830, 7.936]],
  "species": ["Sm", "Sm", "Sm", "Sm", "Sm", "Sm", "Sm", "Sm", "Rh", "Rh", "Rh", "S", "I", "I", "I", "I"],
  "frac_coords": [[0.215, 0.735, 0.735], [0.228, 0.228, 0.228], [0.265, 0.265, 0.785], [0.265, 0.785, 0.265], [0.735, 0.215, 0.735], [0.735, 0.735, 0.215], [0.772, 0.772, 0.772], [0.785, 0.265, 0.265], [0.000, 0.000, 0.500], [0.000, 0.500, 0.000], [0.500, 0.000, 0.000], [0.500, 0.500, 0.500], [0.000, 0.000, 0.000], [0.000, 0.500, 0.500], [0.500, 0.000, 0.500], [0.500, 0.500, 0.000]]
}


{
  "formula": "Ta3HgH",
  "functional": "PBE",
  "state": "optimized geometry",
  "dft_energy_ev_per_atom": -7.700,
  "spacegroup": "No. 221",
  "e_above_lowest_polymorph_ev_per_fu": 0.00,
  "lattice": [[4.226, 0.000, 0.000], [0.000, 4.226, 0.000], [0.000, 0.000, 4.226]],
  "species": ["Ta", "Ta", "Ta", "Hg", "H"],
  "frac_coords": [[0.000, 0.000, 0.500], [0.000, 0.500, 0.000], [0.500, 0.000, 0.000], [0.500, 0.500, 0.500], [0.000, 0.000, 0.000]]
}